A relaxed structure of CrCuGeO6. Source: Alexandria via LeMat-Bulk, functional GGA+U.

Cell lengths 4.4748, 4.4748, 8.9204 Å; angles 90.00, 90.00, 90.00 degrees
With the nearest neighbours (Å) after each atom.
Sites, in units of the cell vectors:
Cr: 0.0000 0.0000 0.0000  6 O 1.90-1.92
Cr: 0.5000 0.5000 0.5000  6 O 1.90-1.92
Cu: 0.0000 0.0000 0.3329  6 O 1.96-2.00
Cu: 0.5000 0.5000 0.8329  6 O 1.96-2.00
Ge: 0.0000 0.0000 0.6649  6 O 1.90-1.91
Ge: 0.5000 0.5000 0.1649  6 O 1.90-1.91
O: 0.1897 0.1897 0.8320  1 Ge 1.91, 1 Cr 1.92, 1 Cu 1.96
O: 0.1998 0.1998 0.1602  1 Ge 1.90, 1 Cr 1.91, 1 Cu 1.99
O: 0.2002 0.2002 0.5059  1 Cr 1.90, 1 Ge 1.90, 1 Cu 2.00
O: 0.2998 0.7002 0.0059  1 Cr 1.90, 1 Ge 1.90, 1 Cu 2.00
O: 0.3002 0.6998 0.6602  1 Ge 1.90, 1 Cr 1.91, 1 Cu 1.99
O: 0.3103 0.6897 0.3320  1 Ge 1.91, 1 Cr 1.92, 1 Cu 1.96
O: 0.6897 0.3103 0.3320  1 Ge 1.91, 1 Cr 1.92, 1 Cu 1.96
O: 0.7002 0.2998 0.0059  1 Cr 1.90, 1 Ge 1.90, 1 Cu 2.00
O: 0.6998 0.3002 0.6602  1 Ge 1.90, 1 Cr 1.91, 1 Cu 1.99
O: 0.8002 0.8002 0.1602  1 Ge 1.90, 1 Cr 1.91, 1 Cu 1.99
O: 0.7998 0.7998 0.5059  1 Cr 1.90, 1 Ge 1.90, 1 Cu 2.00
O: 0.8103 0.8103 0.8320  1 Ge 1.91, 1 Cr 1.92, 1 Cu 1.96

Calculated values
calculated total energy = -6.1547 eV per atom